1.
Computed, not measured: a geometry-optimized SrRe3Tc structure at the PBE-GGA level of DFT.

Output
As for the space group: Pm-3m (221). The value obtained for the energy of formation from the pure elements is 1.604 eV/atom. The distance to the lowest polymorph of the same formula is 0 meV/atom.

Cell lengths 4.792, 4.792, 4.792 Å; angles 90.00, 90.00, 90.00 degrees
Last column: magnetic moment on the atom in μB.
Fractional coordinates of all 5 atoms:
Sr  0.500  0.500  0.500  0.02
Re  0.000  0.000  0.500  0.46
Re  0.500  0.000  0.000  0.42
Re  0.000  0.500  0.000  0.58
Tc  0.000  0.000  0.000  -0.06

***

2.
Computed, not measured: a geometry-optimized PuPa2Si5 structure at the PBE-GGA level of DFT.

Output
As for the space group: I4mm (107). The formation energy from raw total energies is -3.9 eV/f.u.

Cell lengths 5.846, 5.846, 5.846 Å; angles 99.26, 114.81, 114.81 degrees
Last column: magnetic moment on the atom in μB.
Fractional coordinates of all 8 atoms:
Si  0.000  0.684  0.284  -0.03
Si  0.400  0.684  0.684  -0.03
Si  0.600  0.284  0.284  -0.03
Si  0.000  0.284  0.684  -0.03
Si  0.000  0.735  0.735  0.00
Pu  0.000  0.123  0.123  5.08
Pa  0.500  0.742  0.242  0.07
Pa  0.500  0.242  0.742  0.07

***

3.
Computed, not measured: a geometry-optimized CaTiO2 structure at the PBE-GGA level of DFT.

Output
As for the space group: P1 (1). The formation energy from raw total energies is -9.7 eV/f.u. The distance to the lowest polymorph of the same formula is 169 meV/atom.

Cell lengths 3.509, 8.567, 9.770 Å; angles 101.58, 100.34, 90.07 degrees
Last column: magnetic moment on the atom in μB.
Fractional coordinates of all 16 atoms:
O  0.256  0.455  0.714  -0.02
O  0.698  0.853  0.597  -0.01
O  0.493  0.633  0.189  -0.01
O  0.794  0.212  0.790  0.00
O  0.098  0.691  0.398  -0.02
O  0.819  0.696  0.838  0.00
O  0.897  0.455  0.998  -0.02
O  0.607  0.054  0.414  -0.01
Ca  0.225  0.709  0.653  0.01
Ca  0.403  0.768  0.005  0.02
Ca  0.376  0.238  0.955  0.03
Ca  0.049  0.140  0.298  0.02
Ti  0.707  0.069  0.615  0.20
Ti  0.000  0.540  0.202  0.44
Ti  0.587  0.800  0.375  0.83
Ti  0.799  0.460  0.800  0.47

***

4.
Computed, not measured: a geometry-optimized PmBi2Ir structure at the PBE-GGA level of DFT.

Output
As for the space group: R-3m (166). The value obtained for the energy of formation from the pure elements is 0.142 eV/atom.

Cell lengths 3.687, 3.687, 10.310 Å; angles 79.70, 79.70, 60.00 degrees
Fractional coordinates of all 4 atoms:
Bi  0.108  0.108  0.677
Bi  0.892  0.892  0.323
Pm  0.000  0.000  0.000
Ir  0.500  0.500  0.500

***

5.
Computed, not measured: a geometry-optimized PrNd6Tl structure at the PBE-GGA level of DFT.

Output
As for the space group: P-1 (2). The value obtained for the energy of formation from the pure elements is 0.009 eV/atom. The distance to the lowest polymorph of the same formula is 90 meV/atom.

Cell lengths 9.124, 9.102, 6.451 Å; angles 45.14, 44.99, 59.94 degrees
Fractional coordinates of all 8 atoms:
Nd  0.502  0.243  0.253
Nd  0.757  0.999  0.743
Nd  0.243  0.001  0.257
Nd  0.498  0.757  0.747
Nd  0.001  0.500  0.743
Nd  0.999  0.500  0.257
Pr  0.500  0.500  0.500
Tl  0.000  0.000  0.000

***

6.
Computed, not measured: a geometry-optimized Rb2SrTeF6 structure at the PBE-GGA level of DFT.

Output
As for the space group: I4/mmm (139). The formation energy from raw total energies is -25.3 eV/f.u.

Cell lengths 7.148, 7.148, 6.790 Å; angles 58.24, 58.24, 90.00 degrees
Last column: magnetic moment on the atom in μB.
Fractional coordinates of all 10 atoms:
Rb  0.250  0.750  0.500  0.00
Rb  0.750  0.250  0.500  0.00
Sr  0.500  0.500  0.000  0.02
F  0.266  0.266  0.000  0.09
F  0.233  0.233  0.533  0.04
F  0.266  0.734  0.000  0.09
F  0.767  0.767  0.467  0.04
F  0.734  0.734  0.000  0.09
F  0.734  0.266  0.000  0.09
Te  0.000  0.000  0.000  0.91

***

Looking at DFT total energy for the records above, in order, we have -8.2746 -8.0477 -7.3889 -5.2017 -4.4605 -4.3328 eV/atom.